# 1
DFT (PBE) results for a geometry-optimized BaLi2InAu4 structure.

Output
* SG: R-3m, No. 166
* DFT formation energy: -496.5 meV per atom

a = 10.072 Å, b = 10.072 Å, c = 10.072 Å
α = 26.66°, β = 26.66°, γ = 26.66°
Element x y z (fractional)
Ba  0.000  0.000  0.000
Li  0.230  0.230  0.230
Li  0.770  0.770  0.770
In  0.500  0.500  0.500
Au  0.123  0.123  0.123
Au  0.404  0.404  0.404
Au  0.596  0.596  0.596
Au  0.877  0.877  0.877



# 2
DFT (PBE) results for a geometry-optimized BaLi2InAu2 structure.

Output
* SG: P-3m1, No. 164
* DFT formation energy: -542.7 meV per atom

a = 4.669 Å, b = 4.669 Å, c = 7.500 Å
α = 90.00°, β = 90.00°, γ = 120.00°
Element x y z (fractional)
Ba  0.000  0.000  0.000
Li  0.333  0.667  0.658
Li  0.667  0.333  0.342
In  0.000  0.000  0.500
Au  0.333  0.667  0.300
Au  0.667  0.333  0.700



# 3
DFT (PBE) results for a geometry-optimized BaLiIn4Au2 structure.

Output
* SG: R-3m, No. 166
* DFT formation energy: -390.5 meV per atom

a = 10.946 Å, b = 10.946 Å, c = 10.946 Å
α = 24.96°, β = 24.96°, γ = 24.96°
Element x y z (fractional)
Ba  0.000  0.000  0.000
Li  0.500  0.500  0.500
In  0.130  0.130  0.130
In  0.404  0.404  0.404
In  0.596  0.596  0.596
In  0.870  0.870  0.870
Au  0.224  0.224  0.224
Au  0.776  0.776  0.776



# 4
DFT (PBE) results for a geometry-optimized BaLi2InAu structure.

Output
* SG: P4/mmm, No. 123
* DFT formation energy: -295.8 meV per atom

a = 5.184 Å, b = 5.184 Å, c = 5.285 Å
α = 90.00°, β = 90.00°, γ = 90.00°
Element x y z (fractional)
Ba  0.000  0.000  0.000
Li  0.000  0.500  0.500
Li  0.500  0.000  0.500
In  0.500  0.500  0.000
Au  0.500  0.500  0.500



# 5
DFT (PBE) results for a geometry-optimized BaMgInAu2 structure.

Output
* SG: I-4m2, No. 119
* DFT formation energy: -598.2 meV per atom

a = 7.088 Å, b = 7.088 Å, c = 7.088 Å
α = 142.32°, β = 142.32°, γ = 54.34°
Element x y z (fractional)
Ba  0.000  0.000  0.000
Mg  0.250  0.750  0.500
In  0.750  0.250  0.500
Au  0.384  0.384  0.000
Au  0.616  0.616  0.000



# 6
DFT (PBE) results for a geometry-optimized BaMg2In2Au2 structure.

Output
* SG: R-3m, No. 166
* DFT formation energy: -445.8 meV per atom

a = 9.833 Å, b = 9.833 Å, c = 9.833 Å
α = 27.70°, β = 27.70°, γ = 27.70°
Element x y z (fractional)
Ba  0.000  0.000  0.000
Mg  0.140  0.140  0.140
Mg  0.860  0.860  0.860
In  0.252  0.252  0.252
In  0.748  0.748  0.748
Au  0.447  0.447  0.447
Au  0.553  0.553  0.553



# 7
DFT (PBE) results for a geometry-optimized Ba2MgInAu6 structure.

Output
* SG: P-1, No. 2
* DFT formation energy: -514.6 meV per atom

a = 6.220 Å, b = 7.262 Å, c = 7.407 Å
α = 83.47°, β = 65.30°, γ = 64.66°
Element x y z (fractional)
Ba  0.050  0.201  0.199
Ba  0.950  0.799  0.801
Mg  0.500  0.000  0.500
In  0.500  0.500  0.000
Au  0.009  0.271  0.725
Au  0.360  0.387  0.392
Au  0.496  0.270  0.726
Au  0.504  0.730  0.274
Au  0.640  0.613  0.608
Au  0.991  0.729  0.275



# 8
DFT (PBE) results for a geometry-optimized Ba3Mg2In2Au4 structure.

Output
* SG: P-3m1, No. 164
* DFT formation energy: -543.3 meV per atom

a = 4.836 Å, b = 4.836 Å, c = 16.759 Å
α = 90.00°, β = 90.00°, γ = 120.00°
Element x y z (fractional)
Ba  0.000  0.000  0.000
Ba  0.000  0.000  0.281
Ba  0.000  0.000  0.719
Mg  0.333  0.667  0.558
Mg  0.667  0.333  0.442
In  0.333  0.667  0.141
In  0.667  0.333  0.859
Au  0.333  0.667  0.397
Au  0.333  0.667  0.861
Au  0.667  0.333  0.139
Au  0.667  0.333  0.603



# 9
DFT (PBE) results for a geometry-optimized Ba2MgIn3Au12 structure.

Output
* SG: R-3m, No. 166
* DFT formation energy: -209.0 meV per atom

a = 8.904 Å, b = 8.904 Å, c = 8.904 Å
α = 60.61°, β = 60.61°, γ = 60.61°
Element x y z (fractional)
Ba  0.106  0.106  0.106
Ba  0.894  0.894  0.894
Mg  0.500  0.500  0.500
In  0.000  0.500  0.500
In  0.500  0.000  0.500
In  0.500  0.500  0.000
Au  0.143  0.143  0.504
Au  0.143  0.504  0.143
Au  0.146  0.630  0.630
Au  0.370  0.370  0.854
Au  0.370  0.854  0.370
Au  0.496  0.857  0.857
Au  0.504  0.143  0.143
Au  0.630  0.146  0.630
Au  0.630  0.630  0.146
Au  0.854  0.370  0.370
Au  0.857  0.496  0.857
Au  0.857  0.857  0.496



# 10
DFT (PBE) results for a geometry-optimized BaMg2In4Au structure.

Output
* SG: R-3m, No. 166
* DFT formation energy: -217.3 meV per atom

a = 10.527 Å, b = 10.527 Å, c = 10.527 Å
α = 27.39°, β = 27.39°, γ = 27.39°
Element x y z (fractional)
Ba  0.000  0.000  0.000
Mg  0.241  0.241  0.241
Mg  0.759  0.759  0.759
In  0.132  0.132  0.132
In  0.403  0.403  0.403
In  0.597  0.597  0.597
In  0.868  0.868  0.868
Au  0.500  0.500  0.500



# 11
DFT (PBE) results for a geometry-optimized BaMg4In2Au structure.

Output
* SG: R-3m, No. 166
* DFT formation energy: -285.9 meV per atom

a = 10.445 Å, b = 10.445 Å, c = 10.445 Å
α = 27.27°, β = 27.27°, γ = 27.27°
Element x y z (fractional)
Ba  0.000  0.000  0.000
Mg  0.139  0.139  0.139
Mg  0.412  0.412  0.412
Mg  0.588  0.588  0.588
Mg  0.861  0.861  0.861
In  0.252  0.252  0.252
In  0.748  0.748  0.748
Au  0.500  0.500  0.500



# 12
DFT (PBE) results for a geometry-optimized Ba6In2AuN structure.

Output
* formation energy (no corrections): -0.41 eV/atom
* SG: P2_1/c, No. 14

a = 8.191 Å, b = 8.515 Å, c = 14.236 Å
α = 90.00°, β = 124.36°, γ = 90.00°
Element x y z (fractional)
Ba  0.141  0.013  0.228
Ba  0.141  0.487  0.728
Ba  0.218  0.723  0.041
Ba  0.218  0.777  0.541
Ba  0.325  0.182  0.047
Ba  0.325  0.318  0.547
Ba  0.675  0.682  0.453
Ba  0.675  0.818  0.953
Ba  0.782  0.223  0.459
Ba  0.782  0.277  0.959
Ba  0.859  0.513  0.272
Ba  0.859  0.987  0.772
In  0.271  0.067  0.748
In  0.271  0.433  0.248
In  0.729  0.567  0.752
In  0.729  0.933  0.252
Au  0.500  0.000  0.500
Au  0.500  0.500  0.000
N  0.000  0.000  0.000
N  0.000  0.500  0.500



# 13
DFT (PBE) results for a geometry-optimized Ba2NaInAu structure.

Output
* SG: P4/mmm, No. 123
* DFT formation energy: -280.7 meV per atom

a = 6.466 Å, b = 6.466 Å, c = 5.306 Å
α = 90.00°, β = 90.00°, γ = 90.00°
Element x y z (fractional)
Ba  0.000  0.500  0.000
Ba  0.500  0.000  0.000
Na  0.000  0.000  0.500
In  0.500  0.500  0.500
Au  0.500  0.500  0.000



# 14
DFT (PBE) results for a geometry-optimized BaNaInAu2 structure.

Output
* SG: I-4m2, No. 119
* DFT formation energy: -524.3 meV per atom

a = 7.282 Å, b = 7.282 Å, c = 7.282 Å
α = 143.30°, β = 143.30°, γ = 52.88°
Element x y z (fractional)
Ba  0.000  0.000  0.000
Na  0.750  0.250  0.500
In  0.250  0.750  0.500
Au  0.391  0.391  0.000
Au  0.609  0.609  0.000



# 15
DFT (PBE) results for a geometry-optimized BaNaIn2Au2 structure.

Output
* SG: P-3m1, No. 164
* DFT formation energy: -489.7 meV per atom

a = 4.938 Å, b = 4.938 Å, c = 7.698 Å
α = 90.00°, β = 90.00°, γ = 120.00°
Element x y z (fractional)
Ba  0.000  0.000  0.000
Na  0.000  0.000  0.500
In  0.333  0.667  0.318
In  0.667  0.333  0.682
Au  0.333  0.667  0.701
Au  0.667  0.333  0.299



# 16
DFT (PBE) results for a geometry-optimized BaNa2InAu structure.

Output
* SG: P4/mmm, No. 123
* DFT formation energy: -186.5 meV per atom

a = 5.613 Å, b = 5.613 Å, c = 5.357 Å
α = 90.00°, β = 90.00°, γ = 90.00°
Element x y z (fractional)
Ba  0.000  0.000  0.000
Na  0.000  0.500  0.500
Na  0.500  0.000  0.500
In  0.500  0.500  0.000
Au  0.500  0.500  0.500



# 17
DFT (PBE) results for a geometry-optimized Ba2NaIn4Au3 structure.

Output
* SG: P-4m2, No. 115
* DFT formation energy: -446.0 meV per atom

a = 4.836 Å, b = 4.836 Å, c = 12.008 Å
α = 90.00°, β = 90.00°, γ = 90.00°
Element x y z (fractional)
Ba  0.000  0.500  0.239
Ba  0.500  0.000  0.761
Na  0.000  0.000  0.500
In  0.000  0.000  0.000
In  0.000  0.500  0.640
In  0.500  0.000  0.360
In  0.500  0.500  0.000
Au  0.000  0.500  0.871
Au  0.500  0.000  0.129
Au  0.500  0.500  0.500



# 18
DFT (PBE) results for a geometry-optimized Ba2NaInAu6 structure.

Output
* SG: Fm-3m, No. 225
* DFT formation energy: -240.3 meV per atom

a = 7.503 Å, b = 7.503 Å, c = 7.503 Å
α = 60.00°, β = 60.00°, γ = 60.00°
Element x y z (fractional)
Ba  0.250  0.250  0.250
Ba  0.750  0.750  0.750
Na  0.000  0.000  0.000
In  0.500  0.500  0.500
Au  0.249  0.249  0.751
Au  0.249  0.751  0.249
Au  0.249  0.751  0.751
Au  0.751  0.249  0.249
Au  0.751  0.249  0.751
Au  0.751  0.751  0.249



# 19
DFT (PBE) results for a geometry-optimized BaNdInAu structure.

Output
* SG: F-43m, No. 216
* DFT formation energy: -433.0 meV per atom

a = 5.622 Å, b = 5.622 Å, c = 5.622 Å
α = 60.00°, β = 60.00°, γ = 60.00°
Element x y z (fractional)
Ba  0.000  0.000  0.000
Nd  0.500  0.500  0.500
In  0.750  0.750  0.750
Au  0.250  0.250  0.250



# 20
DFT (PBE) results for a geometry-optimized BaNdIn2Au4 structure.

Output
* SG: R-3m, No. 166
* DFT formation energy: -585.9 meV per atom

a = 10.232 Å, b = 10.232 Å, c = 10.232 Å
α = 27.78°, β = 27.78°, γ = 27.78°
Element x y z (fractional)
Ba  0.000  0.000  0.000
Nd  0.500  0.500  0.500
In  0.240  0.240  0.240
In  0.760  0.760  0.760
Au  0.121  0.121  0.121
Au  0.397  0.397  0.397
Au  0.603  0.603  0.603
Au  0.879  0.879  0.879



# 21
DFT (PBE) results for a geometry-optimized Ba2NdInAu6 structure.

Output
* SG: Fm-3m, No. 225
* DFT formation energy: -317.4 meV per atom

a = 7.821 Å, b = 7.821 Å, c = 7.821 Å
α = 60.00°, β = 60.00°, γ = 60.00°
Element x y z (fractional)
Ba  0.250  0.250  0.250
Ba  0.750  0.750  0.750
Nd  0.000  0.000  0.000
In  0.500  0.500  0.500
Au  0.257  0.257  0.743
Au  0.257  0.743  0.257
Au  0.257  0.743  0.743
Au  0.743  0.257  0.257
Au  0.743  0.257  0.743
Au  0.743  0.743  0.257



# 22
DFT (PBE) results for a geometry-optimized Ba2InNiAu structure.

Output
* SG: P4/mmm, No. 123
* DFT formation energy: -260.1 meV per atom

a = 5.910 Å, b = 5.910 Å, c = 4.900 Å
α = 90.00°, β = 90.00°, γ = 90.00°
Element x y z (fractional)
Ba  0.000  0.500  0.000
Ba  0.500  0.000  0.000
In  0.000  0.000  0.500
Ni  0.000  0.000  0.000
Au  0.500  0.500  0.500



# 23
DFT (PBE) results for a geometry-optimized Ba8InNiAu2 structure.

Output
* SG: P2/m, No. 10
* DFT formation energy: -277.0 meV per atom

a = 7.689 Å, b = 9.962 Å, c = 7.905 Å
α = 90.00°, β = 91.35°, γ = 90.00°
Element x y z (fractional)
Ba  0.221  0.000  0.338
Ba  0.236  0.500  0.317
Ba  0.278  0.277  0.827
Ba  0.278  0.723  0.827
Ba  0.722  0.277  0.173
Ba  0.722  0.723  0.173
Ba  0.764  0.500  0.683
Ba  0.779  0.000  0.662
In  0.500  0.000  0.000
Ni  0.500  0.500  0.000
Au  0.000  0.255  0.500
Au  0.000  0.745  0.500



# 24
DFT (PBE) results for a geometry-optimized BaIn2NiAu structure.

Output
* SG: P4/mmm, No. 123
* DFT formation energy: -301.8 meV per atom

a = 4.968 Å, b = 4.968 Å, c = 5.290 Å
α = 90.00°, β = 90.00°, γ = 90.00°
Element x y z (fractional)
Ba  0.000  0.000  0.000
In  0.000  0.500  0.500
In  0.500  0.000  0.500
Ni  0.500  0.500  0.500
Au  0.500  0.500  0.000